Compound: K2SiSb
Source: the Alexandria database
Functional: PBEsol
Structure: relaxed

a = 4.015 Å, b = 5.633 Å, c = 11.199 Å
α = 90.00°, β = 90.00°, γ = 90.00°
Space group Imm2 (No. 44)
Inequivalent atoms, fractional coordinates:
K 0.000 0.000 0.000
K 0.000 0.500 0.197
Si 0.000 0.000 0.433
Sb 0.000 0.500 0.786

Properties
ΔE to the lowest computed polymorph = 0.00 kJ/mol of atoms
Energy relative to the elements, uncorrected = -0.162 eV per atom